Entry 1:
DFT (PBE) results for Cs3Tl2Br5Cl2 after structural relaxation.

Properties
**Uncorrected formation energy**: -1.26 eV/atom

Lattice parameters (Å, degrees): 5.8329 5.8329 15.2128 101.05 101.05 90.00
Closest atoms and distances in Å follow each position.
Fractional positions:
Cs  0.1848  0.1848  0.3696  1 Cl 3.41
Cs  0.8152  0.8152  0.6304  1 Cl 3.41
Cs  0.0000  0.0000  0.0000  12 Br 4.12-4.13
Tl  0.3968  0.3968  0.7936  1 Cl 2.80, 5 Br 2.92-3.02
Tl  0.6032  0.6032  0.2064  1 Cl 2.80, 5 Br 2.92-3.02
Br  0.5997  0.0997  0.1995  2 Tl 2.92
Br  0.4003  0.9003  0.8005  2 Tl 2.92
Br  0.0997  0.5997  0.1995  2 Tl 2.92
Br  0.9003  0.4003  0.8005  2 Tl 2.92
Br  0.5000  0.5000  0.0000  2 Tl 3.02
Cl  0.6988  0.6988  0.3975  1 Tl 2.80
Cl  0.3012  0.3012  0.6025  1 Tl 2.80

=====

Entry 2:
DFT (PBE) results for DyPt5 after structural relaxation.

Properties
**ΔH_f (0 K)**: -613 meV/atom

Lattice parameters (Å, degrees): 4.9395 5.0031 5.0636 119.61 80.37 109.79
Closest atoms and distances in Å follow each position.
Fractional positions:
Dy  0.0000  0.0000  0.0000  12 Pt 2.86-2.96
Pt  0.5000  0.8229  0.6459  10 Pt 2.81-3.12, 2 Dy 2.92
Pt  0.0000  0.6638  0.3277  9 Pt 2.84-2.93, 3 Dy 2.89-2.96
Pt  0.5000  0.5000  0.0000  10 Pt 2.84-2.95, 2 Dy 2.86
Pt  0.0000  0.3362  0.6723  9 Pt 2.84-2.93, 3 Dy 2.89-2.96
Pt  0.5000  0.1771  0.3541  10 Pt 2.81-3.12, 2 Dy 2.92

=====

Entry 3:
DFT (PBE) results for TmSc2Cd after structural relaxation.

Properties
**ΔH_f (0 K)**: 174 meV/atom

Lattice parameters (Å, degrees): 3.2692 3.2692 11.4371 81.78 81.78 60.00
Closest atoms and distances in Å follow each position.
Fractional positions:
Sc  0.0943  0.0943  0.7172  3 Cd 3.09, 1 Tm 3.19, 6 Sc 3.27
Sc  0.9057  0.9057  0.2828  3 Cd 3.09, 1 Tm 3.19, 6 Sc 3.27
Tm  0.0000  0.0000  0.0000  2 Sc 3.19, 6 Tm 3.27
Cd  0.5000  0.5000  0.5000  6 Sc 3.09, 6 Cd 3.27